A relaxed structure of PuNi5Sb. Source: Alexandria via LeMat-Bulk, functional PBE-GGA.

The structure in POSCAR format:
```
PuNi5Sb
1.0
4.964 0.000 0.000
0.000 8.017 0.000
0.000 0.000 10.149
Pu Ni Sb
4 20 4
Direct
0.250 0.252 0.945
0.750 0.248 0.445
0.250 0.752 0.555
0.750 0.748 0.055
0.250 0.590 0.021
0.750 0.910 0.521
0.250 0.090 0.479
0.750 0.410 0.979
0.750 0.323 0.745
0.250 0.177 0.245
0.750 0.823 0.755
0.250 0.677 0.255
0.250 0.927 0.099
0.750 0.573 0.599
0.250 0.427 0.401
0.750 0.073 0.901
0.999 0.428 0.189
0.001 0.072 0.689
0.501 0.928 0.311
0.499 0.572 0.811
0.001 0.572 0.811
0.999 0.928 0.311
0.499 0.072 0.689
0.501 0.428 0.189
0.250 0.860 0.855
0.750 0.640 0.355
0.250 0.360 0.645
0.750 0.140 0.145
```

Computed properties:
M_tot = 4.39 μB/f.u.
formation energy (no corrections) = -0.24 eV per atom
SG = Pnma, No. 62

A relaxed structure of AcTb3SmHo. Source: Alexandria via LeMat-Bulk, functional PBE-GGA.

The structure in POSCAR format:
```
AcTb3SmHo
1.0
5.462 0.000 0.000
-2.731 11.185 2.676
0.000 -0.642 6.971
Ac Tb Sm Ho
2 6 2 2
Direct
0.372 0.743 0.981
0.628 0.257 0.019
0.820 0.640 0.281
0.775 0.550 0.807
0.478 0.955 0.282
0.225 0.450 0.193
0.522 0.045 0.718
0.180 0.360 0.719
0.075 0.149 0.377
0.925 0.851 0.623
0.668 0.336 0.479
0.332 0.664 0.521
```

Computed properties:
M_tot = 0.00 μB/f.u.
energy relative to the elements = 0.22 eV/atom
SG = C2/m, No. 12

A relaxed structure of ScTl2CdFe. Source: Alexandria via LeMat-Bulk, functional PBE-GGA.

The structure in POSCAR format:
```
ScTl2CdFe
1.0
-0.654 0.427 5.680
-4.451 0.125 -0.522
-0.208 -5.715 0.405
Sc Tl Fe Cd
1 2 1 1
Direct
0.000 0.000 0.000
0.000 0.000 0.500
0.500 0.000 0.000
0.000 0.500 0.000
0.500 0.500 0.500
```

Computed properties:
M_tot = 1.58 μB/f.u.
energy relative to the elements = 0.76 eV/atom
SG = P4/mmm, No. 123

A relaxed structure of Mo2RuAu. Source: Alexandria via LeMat-Bulk, functional PBE-GGA.

The structure in POSCAR format:
```
Mo2RuAu
1.0
-1.905 -2.067 0.772
0.506 -2.035 -4.200
3.792 -3.961 -1.251
Au Mo Ru
1 2 1
Direct
0.000 0.000 0.500
0.000 0.000 0.000
0.500 0.500 0.000
0.500 0.500 0.500
```

Computed properties:
M_tot = 0.00 μB/f.u.
energy relative to the elements = 0.26 eV/atom
energy above the lowest structure with this stoichiometry = 171.5 meV per atom
SG = P2/m, No. 10

A relaxed structure of RbSnS3. Source: Alexandria via LeMat-Bulk, functional PBE-GGA.

The structure in POSCAR format:
```
RbSnS3
1.0
-1.305 -3.501 -2.331
4.657 0.190 -2.891
4.024 -10.701 5.778
Rb Sn S
2 2 6
Direct
0.748 0.250 0.149
0.252 0.750 0.851
0.307 0.750 0.425
0.693 0.250 0.575
0.736 0.250 0.880
0.264 0.750 0.120
0.979 0.750 0.285
0.021 0.250 0.715
0.303 0.250 0.440
0.697 0.750 0.560
```

Computed properties:
M_tot = 0.00 μB/f.u.
formation energy (no corrections) = -0.54 eV per atom
SG = P2_1/m, No. 11

A relaxed structure of PmSm3YTm. Source: Alexandria via LeMat-Bulk, functional PBE-GGA.

The structure in POSCAR format:
```
PmSm3YTm
1.0
5.539 0.000 0.000
-2.769 10.816 2.582
0.000 -0.596 6.773
Pm Sm Y Tm
2 6 2 2
Direct
0.369 0.738 0.974
0.631 0.262 0.026
0.835 0.669 0.274
0.774 0.548 0.813
0.476 0.952 0.270
0.226 0.452 0.187
0.524 0.048 0.730
0.165 0.331 0.726
0.666 0.332 0.469
0.334 0.668 0.531
0.072 0.144 0.335
0.928 0.856 0.665
```

Computed properties:
M_tot = 0.00 μB/f.u.
energy relative to the elements = 0.20 eV/atom
SG = C2/m, No. 12

A relaxed structure of Li3Al4Ir2. Source: Alexandria via LeMat-Bulk, functional PBE-GGA.

The structure in POSCAR format:
```
Li3Al4Ir2
1.0
-3.899 1.337 -1.005
-1.729 -1.103 -3.714
-3.163 -6.635 3.443
Li Al Ir
3 4 2
Direct
0.333 0.333 0.448
0.000 0.000 0.000
0.667 0.667 0.552
0.667 0.667 0.892
0.000 0.000 0.318
0.000 0.000 0.682
0.333 0.333 0.108
0.333 0.333 0.788
0.667 0.667 0.212
```

Computed properties:
M_tot = 0.00 μB/f.u.
energy relative to the elements = -0.64 eV/atom
SG = P-3m1, No. 164

A relaxed structure of Ho2Ni21B6. Source: Alexandria via LeMat-Bulk, functional PBE-GGA.

The structure in POSCAR format:
```
Ho2Ni21B6
1.0
6.535 0.000 3.773
2.178 6.161 3.773
0.000 0.000 7.546
Ho Ni B
2 21 6
Direct
0.750 0.750 0.750
0.250 0.250 0.250
0.000 0.000 0.000
0.612 0.612 0.163
0.612 0.612 0.612
0.612 0.163 0.612
0.163 0.612 0.612
0.388 0.388 0.837
0.388 0.388 0.388
0.388 0.837 0.388
0.837 0.388 0.388
0.663 0.000 0.337
0.000 0.663 0.337
0.000 0.000 0.337
0.000 0.663 0.000
0.663 0.000 0.000
0.000 0.000 0.663
0.000 0.337 0.000
0.000 0.337 0.663
0.663 0.337 0.000
0.337 0.000 0.663
0.337 0.000 0.000
0.337 0.663 0.000
0.270 0.730 0.270
0.730 0.270 0.270
0.730 0.730 0.270
0.730 0.270 0.730
0.270 0.730 0.730
0.270 0.270 0.730
```

Computed properties:
M_tot = 0.00 μB/f.u.
energy relative to the elements = -0.35 eV/atom
SG = Fm-3m, No. 225

A relaxed structure of Ca2SmIr. Source: Alexandria via LeMat-Bulk, functional PBE-GGA.

The structure in POSCAR format:
```
Ca2SmIr
1.0
-6.138 0.309 2.055
-1.719 -6.107 -4.214
2.166 -5.661 7.320
Ca Sm Ir
8 4 4
Direct
0.159 0.671 0.065
0.341 0.171 0.435
0.841 0.329 0.565
0.659 0.829 0.935
0.841 0.329 0.935
0.659 0.829 0.565
0.159 0.671 0.435
0.341 0.171 0.065
0.640 0.541 0.250
0.860 0.041 0.250
0.360 0.459 0.750
0.140 0.959 0.750
0.026 0.375 0.250
0.474 0.875 0.250
0.974 0.625 0.750
0.526 0.125 0.750
```

Computed properties:
M_tot = 0.00 μB/f.u.
energy relative to the elements = -0.37 eV/atom
energy above the lowest structure with this stoichiometry = 14.6 meV per atom
SG = Pnma, No. 62

A relaxed structure of DyEr2Fe. Source: Alexandria via LeMat-Bulk, functional PBE-GGA.

The structure in POSCAR format:
```
DyEr2Fe
1.0
6.216 0.000 0.000
0.000 7.013 0.000
0.000 0.000 9.075
Dy Er Fe
4 8 4
Direct
0.636 0.548 0.250
0.864 0.048 0.250
0.364 0.452 0.750
0.136 0.952 0.750
0.172 0.674 0.067
0.328 0.174 0.433
0.828 0.326 0.567
0.672 0.826 0.933
0.828 0.326 0.933
0.672 0.826 0.567
0.172 0.674 0.433
0.328 0.174 0.067
0.034 0.389 0.250
0.466 0.889 0.250
0.966 0.611 0.750
0.534 0.111 0.750
```

Computed properties:
M_tot = 0.00 μB/f.u.
energy relative to the elements = -0.03 eV/atom
energy above the lowest structure with this stoichiometry = 0.0 meV per atom
SG = Pnma, No. 62

A relaxed structure of SiHgB2W. Source: Alexandria via LeMat-Bulk, functional PBE-GGA.

The structure in POSCAR format:
```
SiHgB2W
1.0
-2.872 1.409 2.834
-3.430 0.019 -3.485
-1.016 -4.035 0.977
Si B Hg W
1 2 1 1
Direct
0.000 0.500 0.000
0.000 0.000 0.500
0.500 0.000 0.000
0.500 0.500 0.500
0.000 0.000 0.000
```

Computed properties:
M_tot = 0.00 μB/f.u.
energy above the lowest structure with this stoichiometry = 0.0 meV per atom
formation energy (no corrections) = 1.16 eV per atom
SG = P4/mmm, No. 123

A relaxed structure of NaIn6Hg2. Source: Alexandria via LeMat-Bulk, functional PBE-GGA.

The structure in POSCAR format:
```
NaIn6Hg2
1.0
-1.985 2.308 -1.280
-7.723 -4.570 -0.146
-5.095 1.754 7.177
Na In Hg
1 6 2
Direct
0.000 0.000 0.000
0.310 0.027 0.341
0.690 0.973 0.659
0.690 0.659 0.973
0.500 0.306 0.694
0.500 0.694 0.306
0.310 0.341 0.027
0.125 0.367 0.367
0.875 0.633 0.633
```

Computed properties:
M_tot = 0.00 μB/f.u.
energy relative to the elements = -0.02 eV/atom
energy above the lowest structure with this stoichiometry = 20.3 meV per atom
SG = C2/m, No. 12

A relaxed structure of BaZr3. Source: Alexandria via LeMat-Bulk, functional PBE-GGA.

The structure in POSCAR format:
```
BaZr3
1.0
-4.504 1.179 -3.421
0.905 -2.617 -5.070
0.200 -2.059 5.394
Ba Zr
1 3
Direct
0.000 0.000 0.000
0.250 0.750 0.500
0.500 0.500 0.000
0.750 0.250 0.500
```

Computed properties:
M_tot = 0.00 μB/f.u.
energy relative to the elements = 0.60 eV/atom
energy above the lowest structure with this stoichiometry = 284.5 meV per atom
SG = I4/mmm, No. 139

A relaxed structure of Ho5BTe4. Source: Alexandria via LeMat-Bulk, functional PBE-GGA.

The structure in POSCAR format:
```
Ho5BTe4
1.0
-1.066 5.613 1.827
-3.725 4.086 -4.881
-6.345 0.805 3.673
Ho B Te
5 1 4
Direct
0.911 0.343 0.841
0.253 0.841 0.657
0.751 0.159 0.343
0.094 0.657 0.159
0.473 0.000 0.000
0.021 0.000 0.000
0.415 0.396 0.777
0.811 0.777 0.604
0.192 0.223 0.396
0.588 0.604 0.223
```

Computed properties:
M_tot = 0.00 μB/f.u.
formation energy (no corrections) = -1.12 eV per atom
SG = I4, No. 79

Number 1: raw total energy -7.01 eV/atom. Number 2: raw total energy -4.33 eV/atom. Number 3: raw total energy -3.33 eV/atom. Number 4: raw total energy -8.29 eV/atom. Number 5: raw total energy -4.01 eV/atom. Number 6: raw total energy -4.78 eV/atom. Number 7: raw total energy -4.91 eV/atom. Number 8: raw total energy -6.23 eV/atom. Number 9: raw total energy -4.76 eV/atom. Number 10: raw total energy -5.58 eV/atom. Number 11: raw total energy -5.24 eV/atom. Number 12: raw total energy -2.06 eV/atom. Number 13: raw total energy -6.29 eV/atom. Number 14: raw total energy -5.33 eV/atom.